VASP calculation (PBE-GGA) on crystalline AcPr6NdSm2 at its relaxed geometry.

Structure (POSCAR):
```
AcPr6NdSm2
1.0
4.719 -7.868 0.000
4.719 7.868 0.000
-1.207 0.000 9.938
Ac Pr Nd Sm
2 12 2 4
Cartesian
3.814 7.472 7.454
4.418 -7.472 2.485
1.907 4.263 6.791
4.026 4.942 0.534
4.809 4.942 4.435
2.704 1.638 8.758
5.722 4.263 8.117
4.925 1.638 6.150
3.307 -1.638 3.789
2.510 -4.263 1.821
5.528 -1.638 1.181
3.423 -4.942 5.504
4.206 -4.942 9.404
6.325 -4.263 3.148
4.418 1.450 2.485
3.814 -1.450 7.454
1.702 0.865 5.418
2.306 -0.865 0.449
5.926 0.865 9.489
6.530 -0.865 4.520
```

Values from the calculation:
E_form   0.112 eV per atom
Total magnetic moment   0.00 μB/cell
Raw total energy   -4.587 eV/atom



VASP calculation (PBE-GGA) on crystalline Cs3Cd2Br7 at its relaxed geometry.

Structure (POSCAR):
```
Cs3Cd2Br7
1.0
2.850 -14.250 0.000
2.850 14.250 0.000
0.000 0.000 5.588
Cs Cd Br
3 2 7
Cartesian
0.000 0.000 0.000
2.850 9.096 0.000
2.850 -9.096 0.000
2.850 2.852 2.794
2.850 -2.852 2.794
2.850 11.549 2.794
2.850 5.571 2.794
2.850 2.720 0.000
2.850 0.000 2.794
2.850 -2.720 0.000
2.850 -5.571 2.794
2.850 -11.549 2.794
```

Values from the calculation:
E above lowest polymorph   0.349 kcal/mol of atoms
Total magnetic moment   0.00 μB/cell
Raw total energy   -2.666 eV/atom